Entry 1:
Here is crystalline InP2Ru at its relaxed geometry from the Alexandria database. Energies are from PBE.

a b c (Å): 4.5189 4.5189 3.2861
angles (deg): 90.62 90.62 106.23
Fractional coordinates of all 4 atoms:
In1 0.0000 0.0000 0.0000
P1 0.0000 0.5000 0.5000
P2 0.5000 0.0000 0.5000
Ru1 0.5000 0.5000 0.0000

Results
calculated volume = 64.4 Å³/cell
calculated total energy = -5.32 eV per atom
size of the total moment = 0.00 Bohr magnetons per cell



Entry 2:
Here is crystalline In2PRu at its relaxed geometry from the Alexandria database. Energies are from PBE.

a b c (Å): 5.0748 5.0748 5.0748
angles (deg): 131.39 131.39 71.20
Fractional coordinates of all 4 atoms:
In1 0.2500 0.7500 0.5000
In2 0.7500 0.2500 0.5000
P1 0.0000 0.0000 0.0000
Ru1 0.5000 0.5000 0.0000

Results
calculated volume = 72.0 Å³/cell
calculated total energy = -4.66 eV per atom
size of the total moment = 0.00 Bohr magnetons per cell